No. 1
Cs2KMgBi: relaxed, PBE.

Values from the calculation:
* symmetry: P4/mmm
* ΔE_f: -0.05 eV/atom
* spin magnetization: 0.000 μB per atom
* uncorrected energy: -1.71 eV per atom
* theoretical density: 2.554 g cm⁻³

Lattice parameters (Å, degrees): 7.9050 7.9050 5.5991 90.00 90.00 90.00
With the nearest neighbours (Å) after each atom.
Element x y z (fractional)
Cs (0.0000, 0.5000, 0.0000)  2 Bi 3.95
Cs (0.5000, 0.0000, 0.0000)  2 Bi 3.95
K (0.5000, 0.5000, 0.5000)  8 Cs 4.84
Mg (0.0000, 0.0000, 0.5000)  2 Bi 2.80
Bi (0.0000, 0.0000, 0.0000)  2 Mg 2.80



No. 2
CsKNa2Bi: relaxed, PBE.

Values from the calculation:
* symmetry: P4/mmm
* ΔE_f: -0.11 eV/atom
* spin magnetization: 0.003 μB per atom
* uncorrected energy: -1.81 eV per atom
* theoretical density: 2.403 g cm⁻³
* offset from the most stable computed form: 0.413 eV/f.u.

Lattice parameters (Å, degrees): 6.2431 6.2431 7.5704 90.00 90.00 90.00
With the nearest neighbours (Å) after each atom.
Element x y z (fractional)
Cs (0.0000, 0.0000, 0.5000)  2 Bi 3.79
Na (0.0000, 0.5000, 0.0000)  2 Bi 3.12
Na (0.5000, 0.0000, 0.0000)  2 Bi 3.12
K (0.5000, 0.5000, 0.5000)  4 Cs 4.41, 8 Na 4.91
Bi (0.0000, 0.0000, 0.0000)  4 Na 3.12



No. 3
CsKNa2Bi: relaxed, PBE.

Values from the calculation:
* symmetry: P4/mmm
* ΔE_f: -0.19 eV/atom
* spin magnetization: 0.000 μB per atom
* uncorrected energy: -1.89 eV per atom
* theoretical density: 2.579 g cm⁻³
* offset from the most stable computed form: 0.000 eV/f.u.

Lattice parameters (Å, degrees): 6.2899 6.2899 6.9485 90.00 90.00 90.00
With the nearest neighbours (Å) after each atom.
Element x y z (fractional)
Cs (0.5000, 0.5000, 0.5000)  4 K 4.45, 8 Na 4.69
Na (0.0000, 0.5000, 0.0000)  2 Bi 3.14
Na (0.5000, 0.0000, 0.0000)  2 Bi 3.14
K (0.0000, 0.0000, 0.5000)  2 Bi 3.47
Bi (0.0000, 0.0000, 0.0000)  4 Na 3.14, 2 K 3.47



No. 4
CsK2BiO4: relaxed, PBE.

Values from the calculation:
* symmetry: Imma
* spin magnetization: 0.000 μB per atom
* uncorrected energy: -4.49 eV per atom
* theoretical density: 4.901 g cm⁻³

Lattice parameters (Å, degrees): 8.1277 8.1277 7.3003 116.69 116.69 102.48
With the nearest neighbours (Å) after each atom.
Element x y z (fractional)
Cs (0.0000, 0.5000, 0.0000)  6 O 2.85-3.15
Cs (0.0000, 0.5000, 0.5000)  6 O 2.85-3.15
K (0.5000, 0.0000, 0.0000)  4 O 2.71
K (0.5000, 0.0000, 0.5000)  4 O 2.71
K (0.0000, 0.0000, 0.5000)  4 O 2.77
K (0.5000, 0.5000, 0.0000)  4 O 2.77
Bi (0.5000, 0.5000, 0.5000)  2 O 2.06
Bi (0.0000, 0.0000, 0.0000)  2 O 2.06
O (0.1784, 0.8540, 0.0162)  1 Bi 2.06
O (0.6460, 0.3216, 0.4838)  1 Bi 2.06
O (0.3540, 0.6784, 0.5162)  1 Bi 2.06
O (0.8217, 0.1460, 0.9838)  1 Bi 2.06
O (0.7527, 0.7473, 0.9581)  2 Bi 2.33
O (0.7527, 0.7473, 0.5419)  2 Bi 2.33
O (0.2473, 0.2527, 0.4581)  2 Bi 2.33
O (0.2473, 0.2527, 0.0419)  2 Bi 2.33